GGA-PBE ZrTiAlTc, relaxed; energy of formation from the pure elements = -366 meV per atom; density = 6384 kg/m3
1.0
4.597 0.000 0.000
2.298 3.981 0.000
2.298 1.327 3.753
Zr Ti Tc Al
1 1 1 1
Cartesian
6.895 3.981 2.815 Zr
2.298 1.327 0.938 Ti
4.597 2.654 1.877 Tc
0.000 0.000 0.000 Al